[1]
Below is a geometry-optimized Re2MoOs structure, with properties calculated at the GGA-PBE level.

Cell: 5.545 7.838 2.769 Å, 90.00 90.00 90.00°
Space group Cmmm (No. 65)
Symmetry-distinct sites (fractional):
Re 0.250 0.250 0.000 [4 per cell]
Mo 0.000 0.000 0.500 [2 per cell]
Os 0.000 0.500 0.500 [2 per cell]

- Calculated formation energy: 0.09 eV per atom
- Distance to the lowest polymorph of the same formula: 81 meV/atom



[2]
Below is a geometry-optimized Re2MoOs6 structure, with properties calculated at the GGA-PBE level.

Cell: 8.348 8.464 7.824 Å, 90.00 90.00 90.00°
Space group Ibam (No. 72)
Symmetry-distinct sites (fractional):
Re 0.218 0.074 0.000 [8 per cell]
Mo 0.000 0.000 0.250 [4 per cell]
Os 0.071 0.206 0.500 [8 per cell]
Os 0.152 0.349 0.188 [16 per cell]

- Calculated formation energy: 0.26 eV per atom



[3]
Below is a geometry-optimized Re2MoOs structure, with properties calculated at the GGA-PBE level.

Cell: 2.7600 2.7600 27.5001 Å, 90.00 90.00 120.00°
Space group R-3m (No. 166, hexagonal axes)
Symmetry-distinct sites (fractional):
Re 0.0000 0.0000 0.2476 [6 per cell]
Mo 0.0000 0.0000 0.0000 [3 per cell]
Os 0.0000 0.0000 0.5000 [3 per cell]

- Calculated formation energy: 0.16 eV per atom
- Distance to the lowest polymorph of the same formula: 145 meV/atom



[4]
Below is a geometry-optimized ReMo3Os structure, with properties calculated at the GGA-PBE level.

Cell: 4.644 4.644 4.644 Å, 90.00 90.00 90.00°
Space group Pm-3m (No. 221)
Symmetry-distinct sites (fractional):
Re 0.000 0.000 0.000 [1 per cell]
Mo 0.000 0.500 0.500 [3 per cell]
Os 0.500 0.500 0.500 [1 per cell]

- Calculated formation energy: 2.03 eV per atom



[5]
Below is a geometry-optimized ReMoOs2 structure, with properties calculated at the GGA-PBE level.

Cell: 3.885 3.885 7.885 Å, 90.00 90.00 90.00°
Space group I-4m2 (No. 119)
Symmetry-distinct sites (fractional):
Re 0.000 0.000 0.000 [2 per cell]
Mo 0.000 0.500 0.750 [2 per cell]
Os 0.000 0.000 0.500 [2 per cell]
Os 0.000 0.500 0.250 [2 per cell]

- Calculated formation energy: 0.07 eV per atom
- Distance to the lowest polymorph of the same formula: 28 meV/atom



[6]
Below is a geometry-optimized ReMoOs2 structure, with properties calculated at the GGA-PBE level.

Cell: 3.114 4.379 4.422 Å, 90.00 90.00 90.00°
Space group Pmmm (No. 47)
Symmetry-distinct sites (fractional):
Re 0.000 0.000 0.000 [1 per cell]
Mo 0.500 0.000 0.500 [1 per cell]
Os 0.000 0.500 0.500 [1 per cell]
Os 0.500 0.500 0.000 [1 per cell]

- Calculated formation energy: 0.44 eV per atom
- Distance to the lowest polymorph of the same formula: 397 meV/atom



[7]
Below is a geometry-optimized Re2MoOs structure, with properties calculated at the GGA-PBE level.

Cell: 2.773 3.913 5.554 Å, 90.00 90.08 90.00°
Space group Pm (No. 6)
Symmetry-distinct sites (fractional):
Re 0.000 0.000 0.000 [1 per cell]
Re 0.500 0.500 0.244 [1 per cell]
Mo 0.500 0.500 0.741 [1 per cell]
Os 0.999 0.000 0.490 [1 per cell]

- Calculated formation energy: 0.09 eV per atom
- Distance to the lowest polymorph of the same formula: 74 meV/atom



[8]
Below is a geometry-optimized Re2MoOs structure, with properties calculated at the GGA-PBE level.

Cell: 2.754 2.754 7.972 Å, 90.00 90.00 90.00°
Space group P4/mmm (No. 123)
Symmetry-distinct sites (fractional):
Re 0.000 0.000 0.239 [2 per cell]
Mo 0.500 0.500 0.500 [1 per cell]
Os 0.500 0.500 0.000 [1 per cell]

- Calculated formation energy: 0.11 eV per atom
- Distance to the lowest polymorph of the same formula: 100 meV/atom



[9]
Below is a geometry-optimized Re2MoOs structure, with properties calculated at the GGA-PBE level.

Cell: 2.777 3.907 5.562 Å, 90.00 90.00 90.00°
Space group Pmmm (No. 47)
Symmetry-distinct sites (fractional):
Re 0.000 0.000 0.242 [2 per cell]
Mo 0.500 0.500 0.500 [1 per cell]
Os 0.500 0.500 0.000 [1 per cell]

- Calculated formation energy: 0.11 eV per atom
- Distance to the lowest polymorph of the same formula: 98 meV/atom



[10]
Below is a geometry-optimized ReMoOs2 structure, with properties calculated at the GGA-PBE level.

Cell: 3.279 3.279 5.650 Å, 90.00 90.00 90.00°
Space group P4/mmm (No. 123)
Symmetry-distinct sites (fractional):
Re 0.000 0.000 0.000 [1 per cell]
Mo 0.000 0.000 0.500 [1 per cell]
Os 0.500 0.500 0.243 [2 per cell]

- Calculated formation energy: 0.44 eV per atom
- Distance to the lowest polymorph of the same formula: 393 meV/atom



[11]
Below is a geometry-optimized Re2MoOs structure, with properties calculated at the GGA-PBE level.

Cell: 6.238 6.238 6.238 Å, 90.00 90.00 90.00°
Space group Fm-3m (No. 225)
Symmetry-distinct sites (fractional):
Re 0.250 0.250 0.250 [8 per cell]
Mo 0.000 0.000 0.000 [4 per cell]
Os 0.000 0.000 0.500 [4 per cell]

- Calculated formation energy: 0.35 eV per atom
- Distance to the lowest polymorph of the same formula: 340 meV/atom



[12]
Below is a geometry-optimized ReMoOs4 structure, with properties calculated at the GGA-PBE level.

Cell: 5.483 15.080 4.343 Å, 90.00 90.00 90.00°
Space group Cmcm (No. 63)
Symmetry-distinct sites (fractional):
Re 0.000 0.129 0.250 [4 per cell]
Mo 0.000 0.379 0.750 [4 per cell]
Os 0.246 0.042 0.750 [8 per cell]
Os 0.249 0.292 0.250 [8 per cell]

- Calculated formation energy: 0.15 eV per atom
- Distance to the lowest polymorph of the same formula: 0 meV/atom



[13]
Below is a geometry-optimized Re2MoOs structure, with properties calculated at the GGA-PBE level.

Cell: 2.770 2.770 7.862 Å, 90.00 90.00 90.00°
Space group P4mm (No. 99)
Symmetry-distinct sites (fractional):
Re 0.000 0.000 0.000 [1 per cell]
Re 0.500 0.500 0.246 [1 per cell]
Mo 0.000 0.000 0.506 [1 per cell]
Os 0.500 0.500 0.758 [1 per cell]

- Calculated formation energy: 0.09 eV per atom
- Distance to the lowest polymorph of the same formula: 80 meV/atom



[14]
Below is a geometry-optimized Re2MoOs structure, with properties calculated at the GGA-PBE level.

Cell: 3.907 3.907 7.895 Å, 90.00 90.00 90.00°
Space group I4/mmm (No. 139)
Symmetry-distinct sites (fractional):
Re 0.000 0.500 0.250 [4 per cell]
Mo 0.000 0.000 0.000 [2 per cell]
Os 0.000 0.000 0.500 [2 per cell]

- Calculated formation energy: 0.09 eV per atom
- Distance to the lowest polymorph of the same formula: 80 meV/atom



[15]
Below is a geometry-optimized Re2MoOs2 structure, with properties calculated at the GGA-PBE level.

Cell: 7.502 7.502 2.778 Å, 90.00 90.00 90.00°
Space group P4/mbm (No. 127)
Symmetry-distinct sites (fractional):
Re 0.124 0.376 0.000 [4 per cell]
Mo 0.000 0.000 0.000 [2 per cell]
Os 0.170 0.670 0.500 [4 per cell]

- Calculated formation energy: 0.23 eV per atom
- Distance to the lowest polymorph of the same formula: 260 meV/atom



[16]
Below is a geometry-optimized ReMoOs2 structure, with properties calculated at the GGA-PBE level.

Cell: 5.524 7.810 2.756 Å, 90.00 90.00 90.00°
Space group Cmmm (No. 65)
Symmetry-distinct sites (fractional):
Re 0.000 0.000 0.000 [2 per cell]
Mo 0.000 0.500 0.000 [2 per cell]
Os 0.250 0.250 0.500 [4 per cell]

- Calculated formation energy: 0.05 eV per atom
- Distance to the lowest polymorph of the same formula: 4 meV/atom



[17]
Below is a geometry-optimized ReMoOs2 structure, with properties calculated at the GGA-PBE level.

Cell: 6.230 6.230 6.230 Å, 90.00 90.00 90.00°
Space group Fm-3m (No. 225)
Symmetry-distinct sites (fractional):
Re 0.000 0.000 0.000 [4 per cell]
Mo 0.000 0.000 0.500 [4 per cell]
Os 0.250 0.250 0.250 [8 per cell]

- Calculated formation energy: 0.50 eV per atom
- Distance to the lowest polymorph of the same formula: 456 meV/atom



[18]
Below is a geometry-optimized ReMo2Os2 structure, with properties calculated at the GGA-PBE level.

Cell: 3.918 3.918 11.181 Å, 90.00 90.00 90.00°
Space group I4/mmm (No. 139)
Symmetry-distinct sites (fractional):
Re 0.000 0.000 0.000 [2 per cell]
Mo 0.000 0.500 0.250 [4 per cell]
Os 0.000 0.000 0.394 [4 per cell]

- Calculated formation energy: 0.88 eV per atom
- Distance to the lowest polymorph of the same formula: 562 meV/atom



[19]
Below is a geometry-optimized Re2MoOs2 structure, with properties calculated at the GGA-PBE level.

Cell: 9.317 4.818 7.111 Å, 90.00 111.48 90.00°
Space group C2/c (No. 15)
Symmetry-distinct sites (fractional):
Re 0.195 0.167 0.151 [8 per cell]
Mo 0.000 0.165 0.750 [4 per cell]
Os 0.103 0.335 0.451 [8 per cell]

- Calculated formation energy: -0.03 eV per atom
- Distance to the lowest polymorph of the same formula: 0 meV/atom



[20]
Below is a geometry-optimized ReMoOs2 structure, with properties calculated at the GGA-PBE level.

Cell: 6.227 6.227 6.227 Å, 90.00 90.00 90.00°
Space group F-43m (No. 216)
Symmetry-distinct sites (fractional):
Re 0.000 0.000 0.000 [4 per cell]
Mo 0.250 0.250 0.250 [4 per cell]
Os 0.000 0.000 0.500 [4 per cell]
Os 0.250 0.250 0.750 [4 per cell]

- Calculated formation energy: 0.47 eV per atom
- Distance to the lowest polymorph of the same formula: 426 meV/atom